This record from Alexandria via LeMat-Bulk describes Cs3Tl4I8 after structural relaxation. The functional is GGA-PBE.

Summary:
* spin magnetization: 0.00 μB per cell
* SG: C2/m (12)
* formation energy (no corrections): -0.93 eV per atom

```
data_Cs3Tl4I8
_cell_length_a 10.514
_cell_length_b 10.514
_cell_length_c 10.319
_cell_angle_alpha 119.36
_cell_angle_beta 119.36
_cell_angle_gamma 90.00
_space_group_name_H-M_alt 'P 1'
_space_group_IT_number 1
loop_
_space_group_symop_operation_xyz
'x,y,z'
loop_
_atom_site_label
_atom_site_type_symbol
_atom_site_fract_x
_atom_site_fract_y
_atom_site_fract_z
Cs1 Cs 0.000 0.000 0.000
Cs2 Cs 0.000 0.500 0.500
Cs3 Cs 0.500 0.000 0.500
Tl1 Tl 0.000 0.500 0.000
Tl2 Tl 0.500 0.000 0.000
Tl3 Tl 0.500 0.500 0.000
Tl4 Tl 0.500 0.500 0.500
I1 I 0.259 0.741 0.000
I2 I 0.278 0.722 0.500
I3 I 0.283 0.283 0.050
I4 I 0.290 0.290 0.519
I5 I 0.710 0.710 0.481
I6 I 0.717 0.717 0.950
I7 I 0.722 0.278 0.500
I8 I 0.741 0.259 0.000
```